# 1
Compound: Y2ErPaRu2
Source: the Alexandria database
Functional: PBE
Structure: relaxed

Computed properties:
Energy relative to the elements   -0.31 eV per atom
V   25.889 Å³ per atom
Spin magnetization   0.00 μB/cell
E   -94.76 eV for the cell shown

Cell: 6.702 6.770 8.341 Å, 113.94 113.69 90.00°
Element x y z (fractional)
Y  0.306  0.097  0.612
Ru  0.102  0.809  0.205
Ru  0.898  0.191  0.795
Er  0.750  0.000  0.000
Y  0.194  0.485  0.388
Ru  0.398  0.604  0.795
Er  0.250  0.000  0.000
Ru  0.602  0.396  0.205
Pa  0.250  0.500  0.000
Y  0.694  0.903  0.388
Pa  0.750  0.500  0.000
Y  0.806  0.515  0.612


# 2
Compound: ErPa4S5
Source: the Alexandria database
Functional: PBE
Structure: relaxed

Computed properties:
E_form (uncorrected)   -1608.3 kJ/mol of formula units
V   20.779 Å³ per atom
Spin magnetization   0.00 μB/cell
E   -79.85 eV for the cell shown

Cell: 5.496 6.735 6.735 Å, 80.42 65.92 65.92°
Element x y z (fractional)
S  0.101  0.604  0.196
Pa  0.803  0.799  0.598
Pa  0.601  0.598  0.201
S  0.501  0.000  0.000
Pa  0.401  0.402  0.799
S  0.705  0.196  0.396
Pa  0.200  0.201  0.402
Er  0.001  0.000  0.000
S  0.901  0.396  0.804
S  0.297  0.804  0.604


# 3
Compound: Er2Pa3S8
Source: the Alexandria database
Functional: PBE
Structure: relaxed

Computed properties:
E_form (uncorrected)   -2086.6 kJ/mol of formula units
V   25.869 Å³ per atom
Spin magnetization   4.39 μB/cell
E   -92.26 eV for the cell shown

Cell: 6.471 7.823 8.009 Å, 119.23 105.72 90.00°
Last column: magnetic moment on the atom in μB.
Element x y z (fractional)
Pa  0.500  0.000  0.000  1.30
S  0.926  0.128  0.256  -0.03
S  0.074  0.872  0.744  -0.03
Er  0.335  0.259  0.517  0.06
S  0.581  0.110  0.743  -0.02
S  0.105  0.393  0.785  -0.03
S  0.419  0.890  0.257  -0.02
S  0.895  0.607  0.215  -0.03
Pa  0.000  0.245  0.000  1.05
S  0.419  0.367  0.257  -0.02
Pa  0.000  0.755  0.000  1.05
Er  0.665  0.741  0.483  0.06
S  0.581  0.633  0.743  -0.02


What is the formula in the third record? Er2Pa3S8